Computed, not measured: a geometry-optimized KBW3 structure at the PBE level of DFT.

a b c (Å): 4.471 4.471 4.471
angles (deg): 90.00 90.00 90.00
Element x y z (fractional)
K 0.000 0.000 0.000
B 0.500 0.500 0.500
W 0.000 0.000 0.500
W 0.000 0.500 0.000
W 0.500 0.000 0.000

Summary:
Energy above the lowest structure with this stoichiometry: 3.038 eV per atom
E_form: 4486 meV/atom
Uncorrected energy: -4.84 eV/atom

---

Computed, not measured: a geometry-optimized LaY2Ho5Th structure at the PBE level of DFT.

a b c (Å): 5.631 10.248 10.575
angles (deg): 90.00 90.00 105.95
Element x y z (fractional)
La 0.583 0.166 0.950
Th 0.204 0.409 0.012
Ho 0.612 0.225 0.525
Ho 0.983 0.965 0.528
Y 0.889 0.777 0.234
Y 0.887 0.774 0.818
Ho 0.279 0.559 0.313
Ho 0.479 0.958 0.736
La 0.417 0.834 0.450
Ho 0.721 0.441 0.813
Ho 0.705 0.411 0.207
Y 0.111 0.223 0.734
Ho 0.521 0.042 0.236
Ho 0.017 0.035 0.028
Ho 0.295 0.589 0.707
Th 0.796 0.591 0.512
Y 0.113 0.226 0.318
Ho 0.388 0.775 0.025

Summary:
E_form: 169 meV/atom
Uncorrected energy: -5.18 eV/atom